[1]
# La4Sb8Pd3 | Alexandria | PBE-GGA | relaxed
data_La4Sb8Pd3
_chemical_formula_sum 'La4 Sb8 Pd3'
_cell_length_a 4.5357
_cell_length_b 4.5357
_cell_length_c 19.9333
_cell_angle_alpha 90.00
_cell_angle_beta 90.00
_cell_angle_gamma 90.00
_space_group_name_H-M_alt 'P -4 m 2'
_space_group_IT_number 115
loop_
_space_group_symop_operation_xyz
'x,y,z'
'y,-x,-z'
'-x,-y,z'
'-y,x,-z'
'-x,y,z'
'-y,-x,-z'
'x,-y,z'
'y,x,-z'
loop_
_atom_site_label
_atom_site_fract_x
_atom_site_fract_y
_atom_site_fract_z
La1 0.0000 0.5000 0.1175
La2 0.0000 0.5000 0.6260
Sb1 0.0000 0.0000 0.2466
Sb2 0.0000 0.5000 0.4252
Sb3 0.0000 0.5000 0.9314
Sb4 0.5000 0.5000 0.2469
Pd1 0.0000 0.0000 0.0000
Pd2 0.0000 0.0000 0.5000
Pd3 0.5000 0.5000 0.5000
# Raw total energy   -81.50 eV/cell
# Crystal system   tetragonal



[2]
# LaSb2Pd | Alexandria | PBE-GGA | relaxed
data_LaSb2Pd
_chemical_formula_sum 'La3 Sb6 Pd3'
_cell_length_a 3.4825
_cell_length_b 3.4825
_cell_length_c 31.0151
_cell_angle_alpha 90.00
_cell_angle_beta 90.00
_cell_angle_gamma 120.00
_space_group_name_H-M_alt 'R -3 m'
_space_group_IT_number 166
_space_group_name_Hall '-R 3 2"'
loop_
_atom_site_label
_atom_site_fract_x
_atom_site_fract_y
_atom_site_fract_z
La1 0.0000 0.0000 0.0000
Sb1 0.0000 0.0000 0.1051
Pd1 0.0000 0.0000 0.5000
# Raw total energy   -57.19 eV/cell
# Crystal system   trigonal



[3]
# La2SbPd | Alexandria | PBE-GGA | relaxed
data_La2SbPd
_chemical_formula_sum 'La6 Sb3 Pd3'
_cell_length_a 4.4266
_cell_length_b 4.4266
_cell_length_c 22.2850
_cell_angle_alpha 90.00
_cell_angle_beta 90.00
_cell_angle_gamma 120.00
_space_group_name_H-M_alt 'R -3 m'
_space_group_IT_number 166
_space_group_name_Hall '-R 3 2"'
loop_
_atom_site_label
_atom_site_fract_x
_atom_site_fract_y
_atom_site_fract_z
La1 0.0000 0.0000 0.2438
Sb1 0.0000 0.0000 0.0000
Pd1 0.0000 0.0000 0.5000
# Raw total energy   -68.38 eV/cell
# Crystal system   trigonal



Number 2 is which compound? LaSb2Pd



What is the raw total energy in the first record? -81.50 eV/cell